Record 1
Crystalline CeGa2Te at its relaxed geometry, computed with PBE.

The total energy comes out at -4.391 eV per atom. The value obtained for the uncorrected formation energy is -59 kJ/mol of atoms. Its calculated volume is 23.039 A^3/atom.

The structure belongs to space group P4/mmm (No. 123); the cell edges are 4.4739, 4.4739 and 4.6043 Å and the angles 90.00°, 90.00° and 90.00°. The asymmetric unit holds Ce at (0.0000, 0.0000, 0.0000), Ga at (0.0000, 0.5000, 0.5000) and Te at (0.5000, 0.5000, 0.0000).

Record 2
Crystalline MgPIr2 at its relaxed geometry, computed with PBE.

The total energy comes out at -6.390 eV per atom. Its calculated volume is 14.472 A^3/atom. As for the formation energy: -0.208 eV per atom.

The structure belongs to space group C2/m (No. 12); the cell edges are 8.3605, 2.8752 and 4.8992 Å and the angles 90.00°, 100.56° and 90.00°. The asymmetric unit holds Mg at (0.0000, 0.0000, 0.0000), P at (0.0000, 0.5000, 0.5000) and Ir at (0.2424, 0.0000, 0.7310).

Record 3
Crystalline Tb4Y3Bi4 at its relaxed geometry, computed with PBE.

The total energy comes out at -5.415 eV per atom. Its calculated volume is 31.036 A^3/atom. As for the formation energy: -0.557 eV per atom.

The structure belongs to space group Immm (No. 71); the cell edges are 4.0783, 9.3284 and 17.9471 Å and the angles 90.00°, 90.00° and 90.00°. The asymmetric unit holds Tb at (0.0000, 0.1833, 0.1656), Y at (0.0000, 0.0000, 0.3989), Y at (0.0000, 0.5000, 0.5000), Bi at (0.0000, 0.2939, 0.0000) and Bi at (0.0000, 0.5000, 0.2361).

Record 4
Crystalline PmEr4Tm at its relaxed geometry, computed with PBE.

The total energy comes out at -4.502 eV per atom. The value obtained for the distance to the lowest polymorph of the same formula is 0.023 eV/atom. Its calculated volume is 30.936 A^3/atom. As for the formation energy: 0.077 eV per atom.

The structure belongs to space group Pmmm (No. 47); the cell edges are 3.4505, 5.5805 and 9.6397 Å and the angles 90.00°, 90.00° and 90.00°. The asymmetric unit holds Pm at (0.0000, 0.0000, 0.0000), Er at (0.5000, 0.0000, 0.3360), Er at (0.5000, 0.5000, 0.1700) and Tm at (0.0000, 0.5000, 0.5000).

Record 5
Crystalline Ba2LiLaH at its relaxed geometry, computed with PBE.

The total energy comes out at -2.810 eV per atom. Its calculated volume is 36.531 A^3/atom.

The structure belongs to space group P4/mmm (No. 123); the cell edges are 6.2501, 6.2501 and 4.6758 Å and the angles 90.00°, 90.00° and 90.00°. The asymmetric unit holds Ba at (0.0000, 0.5000, 0.0000), Li at (0.0000, 0.0000, 0.5000), La at (0.5000, 0.5000, 0.5000) and H at (0.5000, 0.5000, 0.0000).

Record 6
Crystalline Ta2MnC2 at its relaxed geometry, computed with PBE.

The total energy comes out at -9.994 eV per atom. The value obtained for the distance to the lowest polymorph of the same formula is 0.412 eV/atom. Its calculated volume is 11.807 A^3/atom. As for the formation energy: 0.271 eV per atom.

The structure belongs to space group I4/mmm (No. 139); the cell edges are 4.7505, 4.7505 and 5.2317 Å and the angles 90.00°, 90.00° and 90.00°. The asymmetric unit holds Ta at (0.0000, 0.5000, 0.2500), Mn at (0.0000, 0.0000, 0.0000) and C at (0.0000, 0.0000, 0.3651).